1.
The following is a DFT calculation (PBE) of crystalline NaEu2Tl at its relaxed geometry.

Results
- total moment (Bohr magnetons per cell) = 14.78
- SG = P4/mmm, No. 123
- density of states at the Fermi level (states/eV/f.u.) = 18.32
- formation energy (meV/atom) = -162.3

a = 4.1941 Å, b = 5.6817 Å, c = 5.6817 Å
α = 90.00°, β = 90.00°, γ = 90.00°
Fractional positions:
Na  0.5000  0.0000  0.0000
Eu  0.0000  0.0000  0.5000
Eu  0.0000  0.5000  0.0000
Tl  0.5000  0.5000  0.5000


2.
The following is a DFT calculation (PBE) of crystalline NaEuTmTl at its relaxed geometry.

Results
- total moment (Bohr magnetons per cell) = 7.25
- SG = F-43m, No. 216
- density of states at the Fermi level (states/eV/f.u.) = 10.20
- formation energy (meV/atom) = -60.2

a = 5.5329 Å, b = 5.5329 Å, c = 5.5329 Å
α = 60.00°, β = 60.00°, γ = 60.00°
Fractional positions:
Na  0.0000  0.0000  0.0000
Tl  0.5000  0.5000  0.5000
Tm  0.7500  0.7500  0.7500
Eu  0.2500  0.2500  0.2500


3.
The following is a DFT calculation (PBE) of crystalline NaEuTlZn at its relaxed geometry.

Results
- total moment (Bohr magnetons per cell) = 7.28
- SG = F-43m, No. 216
- density of states at the Fermi level (states/eV/f.u.) = 7.88
- formation energy (meV/atom) = -146.7

a = 5.3449 Å, b = 5.3449 Å, c = 5.3449 Å
α = 60.00°, β = 60.00°, γ = 60.00°
Fractional positions:
Eu  0.7500  0.7500  0.7500
Na  0.2500  0.2500  0.2500
Zn  0.0000  0.0000  0.0000
Tl  0.5000  0.5000  0.5000


4.
The following is a DFT calculation (PBE) of crystalline NaEu2Tm at its relaxed geometry.

Results
- ΔE to the lowest computed polymorph (kcal/mol of atoms) = 0.96
- total moment (Bohr magnetons per cell) = 15.44
- SG = R-3m, No. 166
- density of states at the Fermi level (states/eV/f.u.) = 3.78
- formation energy (meV/atom) = 149.2

a = 3.6816 Å, b = 3.6816 Å, c = 13.3228 Å
α = 82.06°, β = 82.06°, γ = 60.00°
Fractional positions:
Eu  0.0914  0.0914  0.7257
Eu  0.9086  0.9086  0.2743
Tm  0.5000  0.5000  0.5000
Na  0.0000  0.0000  0.0000


5.
The following is a DFT calculation (PBE) of crystalline NaEuTm at its relaxed geometry.

Results
- total moment (Bohr magnetons per cell) = 7.93
- SG = P3m1, No. 156
- density of states at the Fermi level (states/eV/f.u.) = 3.68
- formation energy (meV/atom) = 176.1

a = 3.6307 Å, b = 3.6307 Å, c = 9.3128 Å
α = 90.00°, β = 90.00°, γ = 120.00°
Fractional positions:
Eu  0.3333  0.6667  0.6526
Na  0.0000  0.0000  0.0089
Tm  0.6667  0.3333  0.3385


6.
The following is a DFT calculation (PBE) of crystalline NaEu2Tm at its relaxed geometry.

Results
- ΔE to the lowest computed polymorph (kcal/mol of atoms) = 0.00
- total moment (Bohr magnetons per cell) = 15.77
- SG = P4/mmm, No. 123
- density of states at the Fermi level (states/eV/f.u.) = 10.42
- formation energy (meV/atom) = 107.6

a = 3.6861 Å, b = 3.6861 Å, c = 11.1194 Å
α = 90.00°, β = 90.00°, γ = 90.00°
Fractional positions:
Eu  0.0000  0.0000  0.2343
Eu  0.0000  0.0000  0.7657
Tm  0.5000  0.5000  0.0000
Na  0.5000  0.5000  0.5000


7.
The following is a DFT calculation (PBE) of crystalline NaEu2Tm at its relaxed geometry.

Results
- ΔE to the lowest computed polymorph (kcal/mol of atoms) = 1.59
- total moment (Bohr magnetons per cell) = 14.72
- SG = P4/mmm, No. 123
- density of states at the Fermi level (states/eV/f.u.) = 3.72
- formation energy (meV/atom) = 176.7

a = 3.8949 Å, b = 6.1599 Å, c = 6.1599 Å
α = 90.00°, β = 90.00°, γ = 90.00°
Fractional positions:
Tm  0.5000  0.5000  0.5000
Eu  0.0000  0.0000  0.5000
Eu  0.0000  0.5000  0.0000
Na  0.5000  0.0000  0.0000


8.
The following is a DFT calculation (PBE) of crystalline NaEu2Y at its relaxed geometry.

Results
- ΔE to the lowest computed polymorph (kcal/mol of atoms) = 0.00
- total moment (Bohr magnetons per cell) = 15.30
- SG = R-3m, No. 166
- density of states at the Fermi level (states/eV/f.u.) = 3.51
- formation energy (meV/atom) = 88.8

a = 3.7461 Å, b = 3.7461 Å, c = 12.7478 Å
α = 81.55°, β = 81.55°, γ = 60.00°
Fractional positions:
Eu  0.7466  0.7466  0.7601
Eu  0.2534  0.2534  0.2399
Na  0.5000  0.5000  0.5000
Y  0.0000  0.0000  0.0000